Material: BiMo2O8
Method: DFT, PBE with a Hubbard U
State: relaxed

It has space group C2/m (No. 12), with a = 8.4891 Å, b = 9.8742 Å, c = 5.5805 Å, α = 90.00°, β = 99.94° and γ = 90.00°. The inequivalent atoms are Bi at (0.0000, 0.0000, 0.0000), Mo at (0.2479, 0.5000, 0.3447), O at (0.0416, 0.5000, 0.2553), O at (0.1561, 0.1391, 0.7919) and O at (0.1989, 0.0000, 0.3223).

For the offset from the most stable computed form, the calculation gives 0.0 meV per atom.

=====

Material: Bi2Mo2O7
Method: DFT, PBE with a Hubbard U
State: relaxed

It has space group Fd-3m (No. 227, origin choice 2), with a = 10.6263 Å, b = 10.6263 Å, c = 10.6263 Å, α = 90.00°, β = 90.00° and γ = 90.00°. The inequivalent atoms are Bi at (0.0000, 0.0000, 0.0000), Mo at (0.0000, 0.0000, 0.5000), O at (0.0822, 0.3750, 0.8750) and O at (0.1250, 0.1250, 0.1250).

For the offset from the most stable computed form, the calculation gives 0.0 meV per atom.

=====

Material: BiMoO4
Method: DFT, PBE with a Hubbard U
State: relaxed

It has space group P2_1/c (No. 14), with a = 8.0152 Å, b = 5.6664 Å, c = 7.8235 Å, α = 90.00°, β = 104.12° and γ = 90.00°. The inequivalent atoms are Bi at (0.1098, 0.2500, 0.4024), Mo at (0.3334, 0.7499, 0.2083), O at (0.1264, 0.5133, 0.1570), O at (0.1265, 0.5136, 0.6562), O at (0.3188, 0.7487, 0.9547) and O at (0.5000, 0.9999, 0.2493).

For the offset from the most stable computed form, the calculation gives 0.0 meV per atom.

=====

Material: BiMo2PO
Method: DFT, PBE with a Hubbard U
State: relaxed

It has space group P4/mmm (No. 123), with a = 5.2569 Å, b = 5.2569 Å, c = 3.5876 Å, α = 90.00°, β = 90.00° and γ = 90.00°. The inequivalent atoms are Bi at (0.0000, 0.0000, 0.0000), Mo at (0.0000, 0.5000, 0.5000), P at (0.5000, 0.5000, 0.5000) and O at (0.5000, 0.5000, 0.0000).

=====

Material: BiMoPO2
Method: DFT, PBE with a Hubbard U
State: relaxed

It has space group P4/mmm (No. 123), with a = 4.1508 Å, b = 4.1508 Å, c = 5.5511 Å, α = 90.00°, β = 90.00° and γ = 90.00°. The inequivalent atoms are Bi at (0.0000, 0.0000, 0.0000), Mo at (0.5000, 0.5000, 0.5000), P at (0.0000, 0.0000, 0.5000) and O at (0.0000, 0.5000, 0.0000).

For the offset from the most stable computed form, the calculation gives 766.3 meV per atom.

=====

Material: BiMoPO2
Method: DFT, PBE with a Hubbard U
State: relaxed

It has space group P4/mmm (No. 123), with a = 4.0384 Å, b = 4.0384 Å, c = 5.1919 Å, α = 90.00°, β = 90.00° and γ = 90.00°. The inequivalent atoms are Bi at (0.0000, 0.0000, 0.0000), Mo at (0.5000, 0.5000, 0.5000), P at (0.5000, 0.5000, 0.0000) and O at (0.0000, 0.5000, 0.5000).

For the offset from the most stable computed form, the calculation gives 0.0 meV per atom.

=====

Material: Rb2BiMoPO8
Method: DFT, PBE with a Hubbard U
State: relaxed

It has space group Ibca (No. 73), with a = 7.1743 Å, b = 12.6369 Å, c = 20.8082 Å, α = 90.00°, β = 90.00° and γ = 90.00°. The inequivalent atoms are Rb at (0.0336, 0.0820, 0.1573), Bi at (0.2500, 0.1677, 0.5000), Mo at (0.0000, 0.2500, 0.3378), P at (0.2500, 0.0733, 0.0000), O at (0.0611, 0.1392, 0.7889), O at (0.0820, 0.1511, 0.0096), O at (0.2023, 0.2164, 0.3864) and O at (0.2253, 0.0005, 0.5591).

=====

Material: PaBi2MoO8
Method: DFT, PBE with a Hubbard U
State: relaxed

It has space group Cmmm (No. 65), with a = 7.3764 Å, b = 7.4108 Å, c = 6.8314 Å, α = 90.00°, β = 90.00° and γ = 90.00°. The inequivalent atoms are Pa at (0.0000, 0.0000, 0.0000), Bi at (0.0000, 0.5000, 0.2550), Mo at (0.0000, 0.0000, 0.5000), O at (0.0000, 0.1780, 0.2570), O at (0.1996, 0.5000, 0.0000) and O at (0.2451, 0.5000, 0.5000).

=====

Material: PaBiMoO6
Method: DFT, PBE with a Hubbard U
State: relaxed

It has space group P-31c (No. 163), with a = 5.6438 Å, b = 5.6438 Å, c = 9.8669 Å, α = 90.00°, β = 90.00° and γ = 120.00°. The inequivalent atoms are Pa at (0.3333, 0.6667, 0.2500), Bi at (0.0000, 0.0000, 0.0000), Mo at (0.3333, 0.6667, 0.7500) and O at (0.0150, 0.3617, 0.6373).

=====

Material: BiMoPb2O6
Method: DFT, PBE with a Hubbard U
State: relaxed

It has space group C2/m (No. 12), with a = 10.1051 Å, b = 5.9781 Å, c = 6.2261 Å, α = 90.00°, β = 124.36° and γ = 90.00°. The inequivalent atoms are Bi at (0.0000, 0.0000, 0.0000), Mo at (0.0000, 0.5000, 0.5000), Pb at (0.2425, 0.0000, 0.6992), O at (0.0656, 0.2599, 0.3344) and O at (0.2164, 0.5000, 0.7998).

=====

Material: BiMo2PbO8
Method: DFT, PBE with a Hubbard U
State: relaxed

It has space group R32 (No. 155, hexagonal axes), with a = 5.4405 Å, b = 5.4405 Å, c = 23.4900 Å, α = 90.00°, β = 90.00° and γ = 120.00°. The inequivalent atoms are Bi at (0.0000, 0.0000, 0.0000), Mo at (0.0000, 0.0000, 0.2451), Pb at (0.0000, 0.0000, 0.5000), O at (0.0000, 0.0000, 0.1696) and O at (0.0042, 0.3214, 0.2695).

=====

Material: PmBi2MoO8
Method: DFT, PBE with a Hubbard U
State: relaxed

It has space group P2/m (No. 10), with a = 5.1689 Å, b = 6.8903 Å, c = 5.1778 Å, α = 90.00°, β = 90.62° and γ = 90.00°. The inequivalent atoms are Pm at (0.0000, 0.0000, 0.0000), Bi at (0.5000, 0.2560, 0.5000), Mo at (0.0000, 0.5000, 0.0000), O at (0.1821, 0.2882, 0.1801), O at (0.2639, 0.5000, 0.7340) and O at (0.3149, 0.0000, 0.6836).

=====

Material: PmBiMoO6
Method: DFT, PBE with a Hubbard U
State: relaxed

It has space group P-31c (No. 163), with a = 5.7067 Å, b = 5.7067 Å, c = 9.4827 Å, α = 90.00°, β = 90.00° and γ = 120.00°. The inequivalent atoms are Pm at (0.3333, 0.6667, 0.2500), Bi at (0.0000, 0.0000, 0.0000), Mo at (0.3333, 0.6667, 0.7500) and O at (0.0506, 0.3797, 0.6351).

=====

Material: BiMoPtO6
Method: DFT, PBE with a Hubbard U
State: relaxed

It has space group P4_2nm (No. 102), with a = 4.8751 Å, b = 4.8751 Å, c = 9.9401 Å, α = 90.00°, β = 90.00° and γ = 90.00°. The inequivalent atoms are Bi at (0.0000, 0.0000, 0.0000), Mo at (0.0000, 0.0000, 0.6694), Pt at (0.0000, 0.0000, 0.3346), O at (0.1720, 0.1720, 0.5018), O at (0.2032, 0.2032, 0.8231) and O at (0.2167, 0.2167, 0.1863).

=====

Material: Rb2BiMoO6
Method: DFT, PBE with a Hubbard U
State: relaxed

It has space group C2/m (No. 12), with a = 8.4603 Å, b = 8.4716 Å, c = 5.9822 Å, α = 90.00°, β = 134.95° and γ = 90.00°. The inequivalent atoms are Rb at (0.0000, 0.2497, 0.0000), Bi at (0.0000, 0.0000, 0.5000), Mo at (0.0000, 0.5000, 0.5000), O at (0.0000, 0.2697, 0.5000), O at (0.2308, 0.5000, 0.4990) and O at (0.2305, 0.5000, 0.9619).

=====

Material: BiSbMoO6
Method: DFT, PBE with a Hubbard U
State: relaxed

It has space group P4_2nm (No. 102), with a = 4.9360 Å, b = 4.9360 Å, c = 10.0632 Å, α = 90.00°, β = 90.00° and γ = 90.00°. The inequivalent atoms are Bi at (0.0000, 0.0000, 0.0000), Sb at (0.0000, 0.0000, 0.6601), Mo at (0.0000, 0.0000, 0.3328), O at (0.1749, 0.1749, 0.4942), O at (0.2107, 0.2107, 0.1699) and O at (0.2190, 0.2190, 0.8052).

=====

Material: ScBiMoO6
Method: DFT, PBE with a Hubbard U
State: relaxed

It has space group P-31c (No. 163), with a = 5.3654 Å, b = 5.3654 Å, c = 9.8623 Å, α = 90.00°, β = 90.00° and γ = 120.00°. The inequivalent atoms are Sc at (0.3333, 0.6667, 0.2500), Bi at (0.0000, 0.0000, 0.0000), Mo at (0.3333, 0.6667, 0.7500) and O at (0.0221, 0.3745, 0.6398).

=====

Number 1: E_tot -6.456 eV per atom. Number 2: E_tot -6.636 eV per atom. Number 3: E_tot -6.625 eV per atom. Number 4: E_tot -5.323 eV per atom. Number 5: E_tot -5.087 eV per atom. Number 6: E_tot -5.853 eV per atom. Number 7: E_tot -6.400 eV per atom. Number 8: E_tot -7.353 eV per atom. Number 9: E_tot -7.841 eV per atom. Number 10: E_tot -6.136 eV per atom. Number 11: E_tot -6.403 eV per atom. Number 12: E_tot -6.653 eV per atom. Number 13: E_tot -7.026 eV per atom. Number 14: E_tot -6.268 eV per atom. Number 15: E_tot -5.714 eV per atom. Number 16: E_tot -6.329 eV per atom. Number 17: E_tot -7.269 eV per atom.